1.
Entry from Alexandria: LiPmEr2 after structural relaxation (GGA-PBE).

```
LiPmEr2
1.0
1.733 1.001 12.121
-1.733 1.001 12.121
0.000 -2.001 12.121
Li Pm Er
1 1 2
direct
0.000 0.000 0.000
0.500 0.500 0.500
0.088 0.088 0.088
0.912 0.912 0.912
```

Properties
energy relative to the elements = 0.204 eV per atom
ρ = 6404 kg/m³
energy relative to the lowest polymorph listed for this composition = 0.125 eV/atom

=====

2.
Entry from Alexandria: LiPm2Er after structural relaxation (GGA-PBE).

```
LiPm2Er
1.0
3.523 0.000 0.000
-1.761 3.051 0.000
0.000 0.000 11.828
Li Pm Er
1 2 1
direct
0.000 0.000 0.000
0.000 0.000 0.725
0.667 0.333 0.240
0.333 0.667 0.485
```

Properties
energy relative to the elements = 0.118 eV per atom
ρ = 6064 kg/m³
energy relative to the lowest polymorph listed for this composition = 0.051 eV/atom

=====

3.
Entry from Alexandria: LiPmEr2 after structural relaxation (GGA-PBE).

```
LiPmEr2
1.0
1.754 1.013 11.195
-1.754 1.013 11.195
0.000 -2.026 11.195
Li Pm Er
1 1 2
direct
0.000 0.000 0.000
0.167 0.167 0.167
0.413 0.413 0.413
0.587 0.587 0.587
```

Properties
energy relative to the elements = 0.123 eV per atom
ρ = 6770 kg/m³
energy relative to the lowest polymorph listed for this composition = 0.044 eV/atom

=====

4.
Entry from Alexandria: Li4PmEr after structural relaxation (GGA-PBE).

```
Li4PmEr
1.0
0.000 4.146 4.146
4.146 0.000 4.146
4.146 4.146 0.000
Li Pm Er
4 1 1
direct
0.125 0.125 0.125
0.125 0.125 0.624
0.125 0.624 0.125
0.624 0.125 0.125
0.750 0.750 0.750
0.500 0.500 0.500
```

Properties
energy relative to the elements = 0.114 eV per atom
ρ = 3961 kg/m³

=====

5.
Entry from Alexandria: Li2PmEr after structural relaxation (GGA-PBE).

```
Li2PmEr
1.0
3.726 0.000 0.000
0.000 3.726 0.000
0.000 0.000 7.515
Li Pm Er
2 1 1
direct
0.000 0.000 0.244
0.000 0.000 0.756
0.500 0.500 0.500
0.500 0.500 0.000
```

Properties
energy relative to the elements = 0.153 eV per atom
ρ = 5190 kg/m³
energy relative to the lowest polymorph listed for this composition = 0.000 eV/atom

=====

6.
Entry from Alexandria: LiPm2Er after structural relaxation (GGA-PBE).

```
LiPm2Er
1.0
1.770 1.022 11.383
-1.770 1.022 11.383
0.000 -2.044 11.383
Li Pm Er
1 2 1
direct
0.000 0.000 0.000
0.584 0.584 0.584
0.749 0.749 0.749
0.167 0.167 0.167
```

Properties
energy relative to the elements = 0.073 eV per atom
ρ = 6237 kg/m³
energy relative to the lowest polymorph listed for this composition = 0.006 eV/atom

=====

7.
Entry from Alexandria: LiPmEr2 after structural relaxation (GGA-PBE).

```
LiPmEr2
1.0
0.000 3.886 3.886
3.886 0.000 3.886
3.886 3.886 0.000
Li Pm Er
1 1 2
direct
0.000 0.000 0.000
0.500 0.500 0.500
0.250 0.250 0.250
0.750 0.750 0.750
```

Properties
energy relative to the elements = 0.212 eV per atom
ρ = 6884 kg/m³
energy relative to the lowest polymorph listed for this composition = 0.133 eV/atom

=====

8.
Entry from Alexandria: LiPmEr2 after structural relaxation (GGA-PBE).

```
LiPmEr2
1.0
5.637 0.000 0.000
0.000 5.637 0.000
0.000 0.000 3.691
Li Pm Er
1 1 2
direct
0.000 0.000 0.000
0.500 0.500 0.000
0.000 0.500 0.500
0.500 0.000 0.500
```

Properties
energy relative to the elements = 0.186 eV per atom
ρ = 6887 kg/m³
energy relative to the lowest polymorph listed for this composition = 0.107 eV/atom

=====

9.
Entry from Alexandria: LiPmEr2 after structural relaxation (GGA-PBE).

```
LiPmEr2
1.0
3.627 0.000 0.000
0.000 3.627 0.000
0.000 0.000 8.724
Li Pm Er
1 1 2
direct
0.000 0.000 0.000
0.000 0.000 0.500
0.500 0.500 0.216
0.500 0.500 0.784
```

Properties
energy relative to the elements = 0.079 eV per atom
ρ = 7037 kg/m³
energy relative to the lowest polymorph listed for this composition = 0.000 eV/atom

=====

10.
Entry from Alexandria: Li2PmEr after structural relaxation (GGA-PBE).

```
Li2PmEr
1.0
0.000 3.741 3.741
3.741 0.000 3.741
3.741 3.741 0.000
Li Pm Er
2 1 1
direct
0.250 0.250 0.250
0.750 0.750 0.750
0.000 0.000 0.000
0.500 0.500 0.500
```

Properties
energy relative to the elements = 0.155 eV per atom
ρ = 5173 kg/m³
energy relative to the lowest polymorph listed for this composition = 0.002 eV/atom

=====

11.
Entry from Alexandria: LiPm2Er after structural relaxation (GGA-PBE).

```
LiPm2Er
1.0
1.749 1.010 12.306
-1.749 1.010 12.306
0.000 -2.020 12.306
Li Pm Er
1 2 1
direct
0.000 0.000 0.000
0.089 0.089 0.089
0.911 0.911 0.911
0.500 0.500 0.500
```

Properties
energy relative to the elements = 0.160 eV per atom
ρ = 5908 kg/m³
energy relative to the lowest polymorph listed for this composition = 0.092 eV/atom

=====

12.
Entry from Alexandria: LiPmEr after structural relaxation (GGA-PBE).

```
LiPmEr
1.0
-1.846 1.846 6.185
1.846 -1.846 6.185
1.846 1.846 -6.185
Li Pm Er
1 1 1
direct
0.000 0.000 0.000
0.659 0.659 0.000
0.353 0.353 0.000
```

Properties
energy relative to the elements = 0.086 eV per atom
ρ = 6287 kg/m³
energy relative to the lowest polymorph listed for this composition = 0.000 eV/atom